The following is a GGA-PBE calculation of an optimized crystal structure of PmAlRhAu, from Alexandria via LeMat-Bulk.

Computed properties:
Formation energy = -0.575 eV per atom
Density = 10.1 g cm⁻³
V = 311.56 Å³/cell

Cell lengths 6.779, 6.779, 6.779 Å; angles 90.00, 90.00, 90.00 degrees
Space group F-43m (No. 216)
One atom of each set of equivalent atoms:
Pm 0.000 0.000 0.000
Al 0.000 0.000 0.500
Rh 0.250 0.250 0.750
Au 0.250 0.250 0.250

=====

The following is a GGA-PBE calculation of an optimized crystal structure of Y2MnIn, from Alexandria via LeMat-Bulk.

Computed properties:
Formation energy = -0.163 eV per atom
Density = 5.8 g cm⁻³
V = 99.27 Å³/cell

Cell lengths 3.634, 3.634, 7.517 Å; angles 90.00, 90.00, 90.00 degrees
Space group P4/mmm (No. 123)
One atom of each set of equivalent atoms:
Y 0.000 0.000 0.231
Mn 0.500 0.500 0.000
In 0.500 0.500 0.500

=====

Please write out number 1 again, unchanged.
The following is a GGA-PBE calculation of an optimized crystal structure of PmAlRhAu, from Alexandria via LeMat-Bulk.

Computed properties:
Formation energy = -0.575 eV per atom
Density = 10.1 g cm⁻³
V = 311.56 Å³/cell

Cell lengths 6.779, 6.779, 6.779 Å; angles 90.00, 90.00, 90.00 degrees
Space group F-43m (No. 216)
One atom of each set of equivalent atoms:
Pm 0.000 0.000 0.000
Al 0.000 0.000 0.500
Rh 0.250 0.250 0.750
Au 0.250 0.250 0.250

=====

Please write out number 2 again, unchanged.
The following is a GGA-PBE calculation of an optimized crystal structure of Y2MnIn, from Alexandria via LeMat-Bulk.

Computed properties:
Formation energy = -0.163 eV per atom
Density = 5.8 g cm⁻³
V = 99.27 Å³/cell

Cell lengths 3.634, 3.634, 7.517 Å; angles 90.00, 90.00, 90.00 degrees
Space group P4/mmm (No. 123)
One atom of each set of equivalent atoms:
Y 0.000 0.000 0.231
Mn 0.500 0.500 0.000
In 0.500 0.500 0.500